Entry from the Alexandria database: a relaxed structure of Ba3As4P2 (PBE).

Cell lengths 6.2592, 9.3098, 9.3098 Å; angles 84.16, 92.09, 92.09 degrees
Positions (direct):
As 0.2565 0.5491 0.7584
As 0.5935 0.0807 0.8050
As 0.0935 0.8050 0.0807
As 0.7435 0.4509 0.2416
As 0.7565 0.7584 0.5491
As 0.4065 0.9193 0.1950
As 0.9065 0.1950 0.9193
As 0.2435 0.2416 0.4509
Ba 0.1099 0.9571 0.7169
Ba 0.6099 0.7169 0.9571
Ba 0.8901 0.0429 0.2831
Ba 0.2500 0.6009 0.3991
Ba 0.7500 0.3991 0.6009
Ba 0.3901 0.2831 0.0429
P 0.4620 0.8888 0.4749
P 0.5380 0.1112 0.5251
P 0.9620 0.4749 0.8888
P 0.0380 0.5251 0.1112

## Properties
For the density of states at the Fermi level, the calculation gives 5.1 states/eV per cell. The uncorrected energy is -82.7 eV per cell. The symmetry is C2/c. The calculation puts the density at 4.77 g/cm³. Its spin magnetization is 0.00 μB per formula unit. The energy relative to the elements is -0.687 eV per atom.